The following is a DFT calculation (GGA-PBE) of Y2CrHgN after structural relaxation.

For the total magnetization, the calculation gives 2.31 μB/cell. The value obtained for the formation energy without anion corrections is -0.6917 eV/atom.

The structure belongs to space group P4/mmm (No. 123); the cell edges are 4.9971, 4.9971 and 3.8593 Å and the angles 90.00°, 90.00° and 90.00°. Symmetry generates all atoms from Y at (0.0000, 0.5000, 0.0000), Cr at (0.0000, 0.0000, 0.5000), Hg at (0.5000, 0.5000, 0.5000) and N at (0.0000, 0.0000, 0.0000).



The following is a DFT calculation (GGA-PBE) of LaYHo2 after structural relaxation.

For the total magnetization, the calculation gives 0.00 μB/cell. Its formation energy is 0.1 eV per formula unit.

The structure belongs to space group P4/mmm (No. 123); the cell edges are 3.6054, 3.6054 and 10.1186 Å and the angles 90.00°, 90.00° and 90.00°. Symmetry generates all atoms from La at (0.0000, 0.0000, 0.0000), Y at (0.0000, 0.0000, 0.5000) and Ho at (0.5000, 0.5000, 0.2553).



The following is a DFT calculation (GGA-PBE) of Sr2YGeS5 after structural relaxation.

For the total magnetization, the calculation gives 0.00 μB/cell. The value obtained for the formation energy without anion corrections is -1.6032 eV/atom.

The structure belongs to space group Cmc2_1 (No. 36); the cell edges are 4.2001, 17.5613 and 12.1402 Å and the angles 90.00°, 90.00° and 90.00°. Symmetry generates all atoms from Sr at (0.0000, 0.1167, 0.0000), Sr at (0.0000, 0.1246, 0.6432), Y at (0.0000, 0.2073, 0.3439), Ge at (0.0000, 0.4466, 0.7583), S at (0.0000, 0.0433, 0.3437), S at (0.0000, 0.2945, 0.9896), S at (0.0000, 0.3187, 0.6896), S at (0.0000, 0.3565, 0.3239) and S at (0.0000, 0.4984, 0.0890).



The following is a DFT calculation (GGA-PBE) of YOsRh2O after structural relaxation.

For the total magnetization, the calculation gives 0.00 μB/cell. The value obtained for the formation energy without anion corrections is 0.8809 eV/atom.

The structure belongs to space group P4/mmm (No. 123); the cell edges are 4.5670, 4.5670 and 5.6269 Å and the angles 90.00°, 90.00° and 90.00°. Symmetry generates all atoms from Y at (0.0000, 0.0000, 0.0000), Os at (0.0000, 0.0000, 0.5000), Rh at (0.0000, 0.5000, 0.5000) and O at (0.5000, 0.5000, 0.0000).



The following is a DFT calculation (GGA-PBE) of BeOs2 after structural relaxation.

For the total magnetization, the calculation gives 0.00 μB/cell. Its formation energy is 0.7 eV per formula unit.

The structure belongs to space group P-62m (No. 189); the cell edges are 5.9176, 5.9176 and 3.6817 Å and the angles 90.00°, 90.00° and 120.00°. Symmetry generates all atoms from Be at (0.0000, 0.0000, 0.0000), Be at (0.3333, 0.6667, 0.5000), Os at (0.0000, 0.2515, 0.5000) and Os at (0.0000, 0.5757, 0.0000).



The following is a DFT calculation (GGA-PBE) of MoIr2Rh after structural relaxation.

For the total magnetization, the calculation gives 0.00 μB/cell. Its formation energy is -0.6 eV per formula unit.

The structure belongs to space group C2/m (No. 12); the cell edges are 9.1566, 2.7430 and 4.7514 Å and the angles 90.00°, 99.80° and 90.00°. Symmetry generates all atoms from Mo at (0.0000, 0.0000, 0.0000), Ir at (0.2475, 0.5000, 0.2496) and Rh at (0.0000, 0.5000, 0.5000).